# 1
The following is a PBE calculation of crystalline RbTcTe2O at its relaxed geometry, from the Alexandria database.

Results
Crystal system: tetragonal
ΔE_f (raw): -492 meV/atom
Symmetry: P4/mmm, No. 123

Cell: 5.8384 3.7581 5.8384 Å, 90.00 90.00 90.00°
With the nearest neighbours (Å) after each atom.
Element x y z (fractional)
Te 0.0000 0.0000 0.5000  2 Tc 2.92
Te 0.5000 0.0000 0.0000  2 Tc 2.92
Tc 0.0000 0.0000 0.0000  2 O 1.88
Rb 0.5000 0.5000 0.5000  8 Te 3.47, 2 Rb 3.76
O 0.0000 0.5000 0.0000  2 Tc 1.88

---

# 2
The following is a PBE calculation of crystalline RbTc2TeO8 at its relaxed geometry, from the Alexandria database.

Results
Crystal system: monoclinic
ΔE_f (raw): -1290 meV/atom
Symmetry: C2/m, No. 12

Cell: 5.5033 5.5033 8.8231 Å, 83.86 83.86 76.97°
With the nearest neighbours (Å) after each atom.
Element x y z (fractional)
O 0.7045 0.2834 0.2361  1 Tc 1.75
O 0.3171 0.3171 0.5748  1 Tc 1.74
O 0.7166 0.2955 0.7639  1 Tc 1.75
O 0.6829 0.6829 0.4252  1 Tc 1.74
O 0.7616 0.7616 0.0949  1 Tc 1.80
O 0.2834 0.7045 0.2361  1 Tc 1.75
O 0.2384 0.2384 0.9051  1 Tc 1.80
O 0.2955 0.7166 0.7639  1 Tc 1.75
Rb 0.0000 0.0000 0.5000  6 O 2.90-3.06
Tc 0.3947 0.3947 0.7467  4 O 1.74-1.80
Tc 0.6053 0.6053 0.2533  4 O 1.74-1.80
Te 0.0000 0.0000 0.0000  2 O 2.11

---

# 3
The following is a PBE calculation of crystalline RbTcTeO6 at its relaxed geometry, from the Alexandria database.

Results
Crystal system: trigonal
ΔE_f (raw): -1331 meV/atom
Symmetry: P312, No. 149

Cell: 5.4142 5.4139 6.2243 Å, 90.00 90.00 59.99°
With the nearest neighbours (Å) after each atom.
Element x y z (fractional)
Te 0.3333 0.3333 0.5000  6 O 2.02
O 0.5723 0.4372 0.6875  1 Tc 1.95, 1 Te 2.02
O 0.5724 0.9904 0.3125  1 Tc 1.95, 1 Te 2.02
O 0.9904 0.5724 0.6875  1 Tc 1.95, 1 Te 2.02
O 0.4372 0.9904 0.6875  1 Tc 1.95, 1 Te 2.02
O 0.9904 0.4372 0.3125  1 Tc 1.95, 1 Te 2.02
O 0.4372 0.5724 0.3125  1 Tc 1.95, 1 Te 2.02
Rb 0.0000 0.0000 0.0000  6 O 3.04
Tc 0.6666 0.6666 0.5000  6 O 1.95

---

# 4
The following is a PBE calculation of crystalline Rb2ThTcO6 at its relaxed geometry, from the Alexandria database.

Results
Crystal system: tetragonal
ΔE_f (raw): -2191 meV/atom
Symmetry: P4mm, No. 99

Cell: 4.6230 5.9748 5.9748 Å, 90.00 90.00 90.00°
With the nearest neighbours (Å) after each atom.
Element x y z (fractional)
Rb 0.1274 0.5000 0.0000  12 O 2.99-3.25
Rb 0.1274 0.0000 0.5000  12 O 2.99-3.25
O 0.6588 0.2218 0.7782  1 Tc 1.93
O 0.6588 0.7782 0.7782  1 Tc 1.93
O 0.6588 0.7782 0.2218  1 Tc 1.93
O 0.1902 0.0000 0.0000  1 Tc 1.73
O 0.6588 0.2218 0.2218  1 Tc 1.93
O 0.1520 0.5000 0.5000  2 Th 2.31-2.32
Th 0.6508 0.5000 0.5000  6 O 2.31-2.35
Tc 0.5637 0.0000 0.0000  5 O 1.73-1.93

---

# 5
The following is a PBE calculation of crystalline RbThTc2O8 at its relaxed geometry, from the Alexandria database.

Results
Crystal system: trigonal
ΔE_f (raw): -1985 meV/atom
Symmetry: P-3, No. 147

Cell: 6.0875 6.0875 8.1312 Å, 90.00 90.00 120.00°
With the nearest neighbours (Å) after each atom.
Element x y z (fractional)
Tc 0.6667 0.3333 0.2423  4 O 1.75-1.84
Tc 0.3333 0.6667 0.7577  4 O 1.75-1.84
O 0.3333 0.6667 0.9724  1 Tc 1.75
O 0.6574 0.8267 0.6750  1 Tc 1.84
O 0.3426 0.1733 0.3250  1 Tc 1.84
O 0.8267 0.1693 0.3250  1 Tc 1.84
O 0.6667 0.3333 0.0276  1 Tc 1.75
O 0.1733 0.8307 0.6750  1 Tc 1.84
O 0.8307 0.6574 0.3250  1 Tc 1.84
O 0.1693 0.3426 0.6750  1 Tc 1.84
Rb 0.0000 0.0000 0.0000  12 O 3.20-3.52
Th 0.0000 0.0000 0.5000  6 O 2.30

---

# 6
The following is a PBE calculation of crystalline RbThTcO6 at its relaxed geometry, from the Alexandria database.

Results
Crystal system: trigonal
ΔE_f (raw): -2134 meV/atom
Symmetry: P312, No. 149

Cell: 5.7481 5.7481 6.1399 Å, 90.00 90.00 60.00°
With the nearest neighbours (Å) after each atom.
Element x y z (fractional)
Th 0.6666 0.6667 0.5000  6 O 2.29
Tc 0.3333 0.3333 0.5000  6 O 1.91
O 0.0481 0.5917 0.6778  1 Tc 1.91
O 0.5916 0.3602 0.6779  1 Tc 1.91
O 0.0482 0.3601 0.3221  1 Tc 1.91
O 0.5917 0.0482 0.3221  1 Tc 1.91
O 0.3602 0.5916 0.3221  1 Tc 1.91
O 0.3601 0.0483 0.6779  1 Tc 1.91
Rb 0.0000 0.0000 0.0000  6 O 2.97

---

# 7
The following is a PBE calculation of crystalline Rb2ThTc3O12 at its relaxed geometry, from the Alexandria database.

Results
Crystal system: trigonal
ΔE_f (raw): -1790 meV/atom
Symmetry: R-3m, No. 166

Cell: 7.6328 7.6328 7.6328 Å, 57.90 57.90 57.90°
With the nearest neighbours (Å) after each atom.
Element x y z (fractional)
O 0.9280 0.2973 0.2973  2 Tc 1.92
O 0.6328 0.0836 0.0836  1 Tc 1.91
O 0.9164 0.3672 0.9164  1 Tc 1.91
O 0.9164 0.9164 0.3672  1 Tc 1.91
O 0.2973 0.9280 0.2973  2 Tc 1.92
O 0.3672 0.9164 0.9164  1 Tc 1.91
O 0.0720 0.7027 0.7027  2 Tc 1.92
O 0.7027 0.0720 0.7027  2 Tc 1.92
O 0.7027 0.7027 0.0720  2 Tc 1.92
O 0.0836 0.0836 0.6328  1 Tc 1.91
O 0.0836 0.6328 0.0836  1 Tc 1.91
O 0.2973 0.2973 0.9280  2 Tc 1.92
Th 0.0000 0.0000 0.0000  6 O 2.30
Tc 0.0000 0.0000 0.5000  6 O 1.91-1.92
Tc 0.5000 0.0000 0.0000  6 O 1.91-1.92
Tc 0.0000 0.5000 0.0000  6 O 1.91-1.92
Rb 0.3767 0.3767 0.3767  6 O 3.14-3.47
Rb 0.6233 0.6233 0.6233  6 O 3.14-3.47

---

# 8
The following is a PBE calculation of crystalline RbTiTc2O8 at its relaxed geometry, from the Alexandria database.

Results
Crystal system: monoclinic
ΔE_f (raw): -1821 meV/atom
Symmetry: C2/m, No. 12

Cell: 5.7115 5.7115 7.8322 Å, 89.90 89.90 60.20°
With the nearest neighbours (Å) after each atom.
Element x y z (fractional)
O 0.8349 0.3236 0.1477  1 Tc 1.80, 1 Ti 1.98
O 0.6764 0.1651 0.8523  1 Tc 1.80, 1 Ti 1.98
O 0.6680 0.6680 0.4502  1 Tc 1.75
O 0.1651 0.6764 0.8523  1 Tc 1.80, 1 Ti 1.98
O 0.1657 0.1657 0.8590  1 Tc 1.80, 1 Ti 1.97
O 0.3236 0.8349 0.1477  1 Tc 1.80, 1 Ti 1.98
O 0.8343 0.8343 0.1410  1 Tc 1.80, 1 Ti 1.97
O 0.3320 0.3320 0.5498  1 Tc 1.75
Rb 0.0000 0.0000 0.5000  12 O 3.19-3.33
Tc 0.3350 0.3350 0.7733  4 O 1.75-1.80
Tc 0.6650 0.6650 0.2267  4 O 1.75-1.80
Ti 0.0000 0.0000 0.0000  6 O 1.97-1.98

---

# 9
The following is a PBE calculation of crystalline Rb2TiTc3O12 at its relaxed geometry, from the Alexandria database.

Results
Crystal system: trigonal
ΔE_f (raw): -1707 meV/atom
Symmetry: R-3m, No. 166

Cell: 7.2570 7.2570 7.2570 Å, 60.35 60.35 60.35°
With the nearest neighbours (Å) after each atom.
Element x y z (fractional)
O 0.3136 0.9333 0.3136  2 Tc 1.94
O 0.6859 0.0590 0.0590  1 Tc 1.87, 1 Ti 1.95
O 0.3141 0.9410 0.9410  1 Tc 1.87, 1 Ti 1.95
O 0.3136 0.3136 0.9333  2 Tc 1.94
O 0.9410 0.3141 0.9410  1 Tc 1.87, 1 Ti 1.95
O 0.9410 0.9410 0.3141  1 Tc 1.87, 1 Ti 1.95
O 0.0590 0.6859 0.0590  1 Tc 1.87, 1 Ti 1.95
O 0.9333 0.3136 0.3136  2 Tc 1.94
O 0.0590 0.0590 0.6859  1 Tc 1.87, 1 Ti 1.95
O 0.6864 0.6864 0.0667  2 Tc 1.94
O 0.6864 0.0667 0.6864  2 Tc 1.94
O 0.0667 0.6864 0.6864  2 Tc 1.94
Tc 0.0000 0.0000 0.5000  6 O 1.87-1.94
Tc 0.0000 0.5000 0.0000  6 O 1.87-1.94
Tc 0.5000 0.0000 0.0000  6 O 1.87-1.94
Rb 0.3806 0.3806 0.3806  6 O 3.15-3.31
Rb 0.6194 0.6194 0.6194  6 O 3.15-3.31
Ti 0.0000 0.0000 0.0000  6 O 1.95

---

# 10
The following is a PBE calculation of crystalline RbTiTcO6 at its relaxed geometry, from the Alexandria database.

Results
Crystal system: trigonal
ΔE_f (raw): -1954 meV/atom
Symmetry: P3, No. 143

Cell: 5.2442 5.2443 6.2905 Å, 90.00 90.00 60.00°
With the nearest neighbours (Å) after each atom.
Element x y z (fractional)
O 0.0168 0.4034 0.3228  1 Ti 1.85, 1 Tc 2.02
O 0.5797 0.0168 0.3228  1 Ti 1.85, 1 Tc 2.02
O 0.6023 0.3905 0.6744  1 Tc 1.81
O 0.3905 0.0072 0.6744  1 Tc 1.81
O 0.4034 0.5798 0.3228  1 Ti 1.85, 1 Tc 2.02
O 0.0072 0.6023 0.6744  1 Tc 1.81
Ti 0.6666 0.6667 0.4541  3 O 1.85
Rb 0.9999 0.0000 0.0193  6 O 2.88-3.00
Tc 0.3333 0.3333 0.5351  6 O 1.81-2.02

---

# 11
The following is a PBE calculation of crystalline RbTiTc2O at its relaxed geometry, from the Alexandria database.

Results
Crystal system: tetragonal
ΔE_f (raw): 3216 meV/atom
Symmetry: P4/mmm, No. 123

Cell: 4.6915 4.8994 4.6915 Å, 90.00 90.00 90.00°
With the nearest neighbours (Å) after each atom.
Element x y z (fractional)
Tc 0.5000 0.0000 0.0000  2 Rb 2.35
Tc 0.0000 0.0000 0.5000  2 Rb 2.35
Rb 0.0000 0.0000 0.0000  4 Tc 2.35, 2 Ti 2.45
O 0.5000 0.5000 0.5000  4 Ti 3.32, 8 Tc 3.39
Ti 0.0000 0.5000 0.0000  2 Rb 2.45

---

# 12
The following is a PBE calculation of crystalline Rb3Tl3TcO8 at its relaxed geometry, from the Alexandria database.

Results
Crystal system: monoclinic
ΔE_f (raw): -1095 meV/atom
Symmetry: C2/m, No. 12

Cell: 7.0094 7.0787 7.6591 Å, 117.08 90.00 119.68°
With the nearest neighbours (Å) after each atom.
Element x y z (fractional)
O 0.7368 0.4736 0.6801  3 Tl 2.29-2.48
O 0.8088 0.0218 0.3319  1 Tc 1.97
O 0.2130 0.0218 0.3319  1 Tc 1.97
O 0.8125 0.6250 0.3318  1 Tc 1.97
O 0.7870 0.9782 0.6681  1 Tc 1.97
O 0.2632 0.5264 0.3199  3 Tl 2.29-2.48
O 0.1875 0.3750 0.6682  1 Tc 1.97
O 0.1912 0.9782 0.6681  1 Tc 1.97
Rb 0.0000 0.5000 0.0000  6 O 2.84-2.95
Rb 0.5000 0.5000 0.0000  6 O 2.84-2.95
Rb 0.0000 0.0000 0.0000  6 O 2.85-2.86
Tl 0.5000 0.0000 0.5000  6 O 2.48-2.49
Tl 0.0000 0.5000 0.5000  6 O 2.29-2.54
Tl 0.5000 0.5000 0.5000  6 O 2.29-2.54
Tc 0.0000 0.0000 0.5000  6 O 1.97

---

# 13
The following is a PBE calculation of crystalline RbTl3Tc2O8 at its relaxed geometry, from the Alexandria database.

Results
Crystal system: trigonal
ΔE_f (raw): -1263 meV/atom
Symmetry: P-3m1, No. 164

Cell: 6.3868 6.3868 8.5153 Å, 90.00 90.00 120.00°
With the nearest neighbours (Å) after each atom.
Element x y z (fractional)
O 0.1812 0.8188 0.2589  1 Tc 1.79
O 0.6667 0.3333 0.0230  1 Tc 1.79
O 0.8188 0.6376 0.7411  1 Tc 1.79
O 0.8188 0.1812 0.7411  1 Tc 1.79
O 0.3624 0.1812 0.7411  1 Tc 1.79
O 0.3333 0.6667 0.9770  1 Tc 1.79
O 0.1812 0.3624 0.2589  1 Tc 1.79
O 0.6376 0.8188 0.2589  1 Tc 1.79
Tl 0.3333 0.6667 0.6961  1 O 2.39
Tl 0.6667 0.3333 0.3039  1 O 2.39
Tl 0.0000 0.0000 0.0000  6 O 2.98
Tc 0.3333 0.6667 0.1875  4 O 1.79
Tc 0.6667 0.3333 0.8125  4 O 1.79
Rb 0.0000 0.0000 0.5000  6 O 2.87

---

# 14
The following is a PBE calculation of crystalline RbTl2Tc2O7 at its relaxed geometry, from the Alexandria database.

Results
Crystal system: trigonal
ΔE_f (raw): -1259 meV/atom
Symmetry: R32, No. 155

Cell: 6.2429 6.2429 9.0000 Å, 69.71 69.71 60.00°
With the nearest neighbours (Å) after each atom.
Element x y z (fractional)
Rb 0.5000 0.5000 0.5000  6 O 3.04
O 0.9449 0.6111 0.2840  1 Tc 1.79
O 0.0000 0.0000 0.0000  2 Tc 1.86
O 0.0551 0.8400 0.7160  1 Tc 1.79
O 0.8400 0.3889 0.7160  1 Tc 1.79
O 0.6111 0.1600 0.2840  1 Tc 1.79
O 0.3889 0.0551 0.7160  1 Tc 1.79
O 0.1600 0.9449 0.2840  1 Tc 1.79
Tc 0.0750 0.0750 0.7750  4 O 1.79-1.86
Tc 0.9250 0.9250 0.2250  4 O 1.79-1.86
Tl 0.7041 0.7041 0.8878  3 O 2.55
Tl 0.2959 0.2959 0.1122  3 O 2.55

---

# 15
The following is a PBE calculation of crystalline RbTlTc2O6 at its relaxed geometry, from the Alexandria database.

Results
Crystal system: monoclinic
ΔE_f (raw): -1287 meV/atom
Symmetry: C2/c, No. 15

Cell: 8.0425 8.0425 9.5330 Å, 103.52 103.52 118.96°
With the nearest neighbours (Å) after each atom.
Element x y z (fractional)
O 0.0876 0.5061 0.7498  1 Tc 1.77
O 0.9835 0.7805 0.9170  1 Tc 1.75
O 0.5061 0.0876 0.2498  1 Tc 1.77
O 0.7805 0.9835 0.4170  1 Tc 1.75
O 0.2195 0.0165 0.5830  1 Tc 1.75
O 0.4939 0.9124 0.7502  1 Tc 1.77
O 0.9124 0.4939 0.2502  1 Tc 1.77
O 0.8055 0.6026 0.5749  1 Tc 1.76
O 0.6026 0.8055 0.0749  1 Tc 1.76
O 0.1945 0.3974 0.4251  1 Tc 1.76
O 0.0165 0.2195 0.0830  1 Tc 1.75
O 0.3974 0.1945 0.9251  1 Tc 1.76
Tl 0.5591 0.4409 0.2500  4 O 2.66-2.82
Tl 0.4409 0.5591 0.7500  4 O 2.66-2.82
Tc 0.3212 0.9887 0.7528  3 O 1.75-1.77
Tc 0.9887 0.3212 0.2528  3 O 1.75-1.77
Tc 0.6788 0.0113 0.2472  3 O 1.75-1.77
Tc 0.0113 0.6788 0.7472  3 O 1.75-1.77
Rb 0.0965 0.9035 0.2500  4 O 2.86-2.88
Rb 0.9035 0.0965 0.7500  4 O 2.86-2.88

---

# 16
The following is a PBE calculation of crystalline RbTl2TcO4 at its relaxed geometry, from the Alexandria database.

Results
Crystal system: tetragonal
ΔE_f (raw): -1105 meV/atom
Symmetry: I-4, No. 82

Cell: 6.3690 6.3690 6.3690 Å, 87.65 121.36 121.36°
With the nearest neighbours (Å) after each atom.
Element x y z (fractional)
Tc 0.0000 0.5000 0.5000  4 O 1.83
Rb 0.5000 0.2500 0.7500  4 O 2.83
O 0.3854 0.7594 0.7727  1 Tc 1.83
O 0.6146 0.3873 0.3740  1 Tc 1.83
O 0.9867 0.2273 0.6127  1 Tc 1.83
O 0.0133 0.6260 0.2406  1 Tc 1.83
Tl 0.5000 0.7500 0.2500  4 O 2.74
Tl 0.0000 0.0000 0.0000  4 O 2.79

---

# 17
The following is a PBE calculation of crystalline Rb3TlTc2O8 at its relaxed geometry, from the Alexandria database.

Results
Crystal system: trigonal
ΔE_f (raw): -1525 meV/atom
Symmetry: P-3m1, No. 164

Cell: 6.4398 6.4398 8.4203 Å, 90.00 90.00 120.00°
With the nearest neighbours (Å) after each atom.
Element x y z (fractional)
O 0.1829 0.8171 0.2801  1 Tc 1.80
O 0.3333 0.6667 0.9923  1 Tc 1.77
O 0.8171 0.1829 0.7199  1 Tc 1.80
O 0.1829 0.3658 0.2801  1 Tc 1.80
O 0.3658 0.1829 0.7199  1 Tc 1.80
O 0.6342 0.8171 0.2801  1 Tc 1.80
O 0.6667 0.3333 0.0077  1 Tc 1.77
O 0.8171 0.6342 0.7199  1 Tc 1.80
Rb 0.6667 0.3333 0.3304  1 O 2.72
Rb 0.3333 0.6667 0.6696  1 O 2.72
Rb 0.0000 0.0000 0.0000  6 O 3.12
Tc 0.3333 0.6667 0.2024  4 O 1.77-1.80
Tc 0.6667 0.3333 0.7976  4 O 1.77-1.80
Tl 0.0000 0.0000 0.5000  6 O 2.75

---

# 18
The following is a PBE calculation of crystalline Rb2TlTcO6 at its relaxed geometry, from the Alexandria database.

Results
Crystal system: cubic
ΔE_f (raw): -1202 meV/atom
Symmetry: Fm-3m, No. 225

Cell: 5.9557 5.9556 5.9552 Å, 60.00 60.00 60.00°
With the nearest neighbours (Å) after each atom.
Element x y z (fractional)
Rb 0.0662 0.0662 0.8015  12 O 2.98
Rb 0.5661 0.5661 0.3016  12 O 2.98
O 0.5425 0.5426 0.8251  1 Tc 1.91
O 0.0898 0.0898 0.2779  1 Tc 1.91
O 0.5426 0.0898 0.8251  1 Tc 1.91
O 0.5425 0.0898 0.2779  1 Tc 1.91
O 0.0898 0.5425 0.2780  1 Tc 1.91
O 0.0898 0.5425 0.8251  1 Tc 1.91
Tc 0.3162 0.3162 0.0515  6 O 1.91
Tl 0.8162 0.8162 0.5515  6 O 2.30

---

# 19
The following is a PBE calculation of crystalline Rb2TlTc2O6 at its relaxed geometry, from the Alexandria database.

Results
Crystal system: trigonal
ΔE_f (raw): -1221 meV/atom
Symmetry: R-3m, No. 166

Cell: 6.4746 6.4746 7.9015 Å, 65.81 65.81 60.00°
With the nearest neighbours (Å) after each atom.
Element x y z (fractional)
Rb 0.7941 0.7941 0.6178  9 O 3.09-3.32
Rb 0.2059 0.2059 0.3822  9 O 3.09-3.32
Tc 0.4146 0.4146 0.7561  3 O 1.77
Tc 0.5854 0.5854 0.2439  3 O 1.77
O 0.7298 0.7298 0.2784  1 Tc 1.77
O 0.2702 0.2702 0.7216  1 Tc 1.77
O 0.7381 0.2702 0.7216  1 Tc 1.77
O 0.7298 0.2619 0.2784  1 Tc 1.77
O 0.2702 0.7381 0.7216  1 Tc 1.77
O 0.2619 0.7298 0.2784  1 Tc 1.77
Tl 0.0000 0.0000 0.0000  6 O 2.78

---

# 20
The following is a PBE calculation of crystalline RbTmTc2O8 at its relaxed geometry, from the Alexandria database.

Results
Crystal system: trigonal
ΔE_f (raw): -1944 meV/atom
Symmetry: P-3, No. 147

Cell: 5.9632 5.9632 7.9432 Å, 90.00 90.00 120.00°
With the nearest neighbours (Å) after each atom.
Element x y z (fractional)
O 0.1677 0.3387 0.6696  1 Tc 1.80
O 0.1710 0.8323 0.6696  1 Tc 1.80
O 0.8323 0.6613 0.3304  1 Tc 1.80
O 0.6667 0.3333 0.0344  1 Tc 1.75
O 0.3333 0.6667 0.9656  1 Tc 1.75
O 0.8290 0.1677 0.3304  1 Tc 1.80
O 0.3387 0.1710 0.3304  1 Tc 1.80
O 0.6613 0.8290 0.6696  1 Tc 1.80
Tc 0.6667 0.3333 0.2543  4 O 1.75-1.80
Tc 0.3333 0.6667 0.7457  4 O 1.75-1.80
Rb 0.0000 0.0000 0.0000  12 O 3.15-3.45
Tm 0.0000 0.0000 0.5000  6 O 2.21